# 1
Here is crystalline VBS3 at its relaxed geometry from the Alexandria database. Energies are from PBE-GGA.

```
data_VBS3
_space_group_name_H-M_alt 'R -3'
_space_group_IT_number 148
_space_group_name_Hall '-R 3'
_cell_length_a 5.6378
_cell_length_b 5.6378
_cell_length_c 19.9847
_cell_angle_alpha 90.00
_cell_angle_beta 90.00
_cell_angle_gamma 120.00
loop_
_atom_site_label
_atom_site_fract_x
_atom_site_fract_y
_atom_site_fract_z
V1 0.0000 0.0000 0.1667
B1 0.0000 0.0000 0.4331
S1 0.0000 0.3215 0.4267
```

E_tot	-6.23	eV/atom

---

# 2
Here is crystalline V2BS6 at its relaxed geometry from the Alexandria database. Energies are from PBE-GGA.

```
data_V2BS6
_space_group_name_H-M_alt 'C 1 2/m 1'
_space_group_IT_number 12
_space_group_name_Hall '-C 2y'
_cell_length_a 13.3039
_cell_length_b 4.2839
_cell_length_c 8.5264
_cell_angle_alpha 90.00
_cell_angle_beta 109.69
_cell_angle_gamma 90.00
loop_
_atom_site_label
_atom_site_fract_x
_atom_site_fract_y
_atom_site_fract_z
V1 0.1932 0.0000 0.3582
B1 0.0000 0.0000 0.0000
S1 0.0117 0.0000 0.8087
S2 0.1495 0.5000 0.4161
S3 0.2490 0.0000 0.1651
```

E_tot	-5.96	eV/atom

---

# 3
Here is crystalline VB2S4 at its relaxed geometry from the Alexandria database. Energies are from PBE-GGA.

```
data_VB2S4
_space_group_name_H-M_alt 'C 1 2/m 1'
_space_group_IT_number 12
_space_group_name_Hall '-C 2y'
_cell_length_a 11.4816
_cell_length_b 3.0520
_cell_length_c 6.5558
_cell_angle_alpha 90.00
_cell_angle_beta 106.42
_cell_angle_gamma 90.00
loop_
_atom_site_label
_atom_site_fract_x
_atom_site_fract_y
_atom_site_fract_z
V1 0.0000 0.0000 0.0000
B1 0.2173 0.0000 0.1395
S1 0.1079 0.5000 0.2635
S2 0.1618 0.0000 0.8225
```

E_tot	-5.59	eV/atom

---

# 4
Here is crystalline VBS2 at its relaxed geometry from the Alexandria database. Energies are from PBE-GGA.

```
data_VBS2
_space_group_name_H-M_alt 'I -4 2 d'
_space_group_IT_number 122
_space_group_name_Hall 'I -4 2bw'
_cell_length_a 5.1491
_cell_length_b 5.1491
_cell_length_c 8.7839
_cell_angle_alpha 90.00
_cell_angle_beta 90.00
_cell_angle_gamma 90.00
loop_
_atom_site_label
_atom_site_fract_x
_atom_site_fract_y
_atom_site_fract_z
V1 0.0000 0.0000 0.0000
B1 0.0000 0.0000 0.5000
S1 0.1863 0.2500 0.6250
```

E_tot	-6.13	eV/atom

---

# 5
Here is crystalline V2BS4 at its relaxed geometry from the Alexandria database. Energies are from PBE-GGA.

```
data_V2BS4
_space_group_name_H-M_alt 'C 1 2/m 1'
_space_group_IT_number 12
_space_group_name_Hall '-C 2y'
_cell_length_a 12.5454
_cell_length_b 3.0731
_cell_length_c 5.5924
_cell_angle_alpha 90.00
_cell_angle_beta 112.26
_cell_angle_gamma 90.00
loop_
_atom_site_label
_atom_site_fract_x
_atom_site_fract_y
_atom_site_fract_z
V1 0.2342 0.0000 0.2463
B1 0.0000 0.5000 0.5000
S1 0.1119 0.0000 0.4718
S2 0.1226 0.5000 0.9546
```

E_tot	-6.25	eV/atom

---

# 6
Here is crystalline VBS3 at its relaxed geometry from the Alexandria database. Energies are from PBE-GGA.

```
data_VBS3
_space_group_name_H-M_alt 'P m -3 m'
_space_group_IT_number 221
_space_group_name_Hall '-P 4 2 3'
_cell_length_a 4.5605
_cell_length_b 4.5605
_cell_length_c 4.5605
_cell_angle_alpha 90.00
_cell_angle_beta 90.00
_cell_angle_gamma 90.00
loop_
_atom_site_label
_atom_site_fract_x
_atom_site_fract_y
_atom_site_fract_z
V1 0.0000 0.0000 0.0000
B1 0.5000 0.5000 0.5000
S1 0.0000 0.0000 0.5000
```

E_tot	-4.89	eV/atom

---

# 7
Here is crystalline VBS2 at its relaxed geometry from the Alexandria database. Energies are from PBE-GGA.

```
data_VBS2
_space_group_name_H-M_alt 'R -3 m'
_space_group_IT_number 166
_space_group_name_Hall '-R 3 2"'
_cell_length_a 3.1415
_cell_length_b 3.1415
_cell_length_c 19.6590
_cell_angle_alpha 90.00
_cell_angle_beta 90.00
_cell_angle_gamma 120.00
loop_
_atom_site_label
_atom_site_fract_x
_atom_site_fract_y
_atom_site_fract_z
V1 0.0000 0.0000 0.0000
B1 0.0000 0.0000 0.5000
S1 0.0000 0.0000 0.4109
```

E_tot	-6.07	eV/atom

---

# 8
Here is crystalline V2B2S7 at its relaxed geometry from the Alexandria database. Energies are from PBE-GGA.

```
data_V2B2S7
_space_group_name_H-M_alt 'C 1 2/m 1'
_space_group_IT_number 12
_space_group_name_Hall '-C 2y'
_cell_length_a 7.3350
_cell_length_b 9.4688
_cell_length_c 5.5790
_cell_angle_alpha 90.00
_cell_angle_beta 103.59
_cell_angle_gamma 90.00
loop_
_atom_site_label
_atom_site_fract_x
_atom_site_fract_y
_atom_site_fract_z
V1 0.0000 0.1554 0.0000
B1 0.2126 0.5000 0.3678
S1 0.0000 0.5000 0.5000
S2 0.1270 0.0000 0.2895
S3 0.2478 0.3302 0.2075
```

E_tot	-5.86	eV/atom